No. 1
# PBE PmHoTmTl, relaxed
data_PmHoTmTl
_chemical_formula_sum 'Pm4 Ho4 Tm4 Tl4'
_cell_length_a 7.756
_cell_length_b 7.756
_cell_length_c 7.756
_cell_angle_alpha 90.00
_cell_angle_beta 90.00
_cell_angle_gamma 90.00
_space_group_name_H-M_alt 'F -4 3 m'
_space_group_IT_number 216
_space_group_name_Hall 'F -4 2 3'
loop_
_atom_site_label
_atom_site_fract_x
_atom_site_fract_y
_atom_site_fract_z
Pm1 0.000 0.000 0.000
Ho1 0.000 0.000 0.500
Tm1 0.250 0.250 0.750
Tl1 0.250 0.250 0.250
# - Energy of formation: -4.4 kJ/mol of atoms
# - Density: 9.73 Mg/m³
# - Magnetization: 4.6 μB per cell
# - DOS(E_F): 1.40 states/eV/atom
# - Energy relative to the lowest polymorph listed for this composition: 0.52 eV/f.u.

=====

No. 2
# PBE Ce2GeTe, relaxed
data_Ce2GeTe
_chemical_formula_sum 'Ce2 Ge1 Te1'
_cell_length_a 3.694
_cell_length_b 3.694
_cell_length_c 7.722
_cell_angle_alpha 90.00
_cell_angle_beta 90.00
_cell_angle_gamma 90.00
_space_group_name_H-M_alt 'P 4/m m m'
_space_group_IT_number 123
_space_group_name_Hall '-P 4 2'
loop_
_atom_site_label
_atom_site_fract_x
_atom_site_fract_y
_atom_site_fract_z
Ce1 0.000 0.000 0.234
Ge1 0.500 0.500 0.000
Te1 0.500 0.500 0.500
# - E_form (uncorrected): -0.88 eV per atom
# - Density: 7.57 Mg/m³
# - Magnetization: 2.3 μB per cell
# - DOS(E_F): 2.72 states/eV/atom
# - Energy relative to the lowest polymorph listed for this composition: 0.80 eV/f.u.

=====

No. 3
# PBE ZnNiP, relaxed
data_ZnNiP
_chemical_formula_sum 'Zn3 Ni3 P3'
_cell_length_a 6.4932
_cell_length_b 6.4932
_cell_length_c 3.2862
_cell_angle_alpha 90.00
_cell_angle_beta 90.00
_cell_angle_gamma 120.00
_space_group_name_H-M_alt 'P -6 2 m'
_space_group_IT_number 189
_space_group_name_Hall 'P -6 -2'
loop_
_atom_site_label
_atom_site_fract_x
_atom_site_fract_y
_atom_site_fract_z
Zn1 0.0000 0.2719 0.0000
Ni1 0.0000 0.0000 0.5000
Ni2 0.3333 0.6667 0.0000
P1 0.0000 0.6275 0.5000
# - Energy of formation: 2.2 kJ/mol of atoms
# - Density: 6.44 Mg/m³
# - Magnetization: 0.0 μB per cell
# - DOS(E_F): 0.44 states/eV/atom

=====

No. 4
# PBE CaMgIn2Hg4, relaxed
data_CaMgIn2Hg4
_chemical_formula_sum 'Ca3 Mg3 In6 Hg12'
_cell_length_a 5.1774
_cell_length_b 5.1774
_cell_length_c 25.4238
_cell_angle_alpha 90.00
_cell_angle_beta 90.00
_cell_angle_gamma 120.00
_space_group_name_H-M_alt 'R -3 m'
_space_group_IT_number 166
_space_group_name_Hall '-R 3 2"'
loop_
_atom_site_label
_atom_site_fract_x
_atom_site_fract_y
_atom_site_fract_z
Ca1 0.0000 0.0000 0.0000
Mg1 0.0000 0.0000 0.5000
In1 0.0000 0.0000 0.2536
Hg1 0.0000 0.0000 0.1308
Hg2 0.0000 0.0000 0.3819
# - Energy of formation: -22.3 kJ/mol of atoms
# - Density: 9.25 Mg/m³
# - Magnetization: 0.0 μB per cell
# - DOS(E_F): 0.30 states/eV/atom